An optimized crystal structure of Pr4TlInAg2, computed with PBE.

a = 5.4599 Å, b = 5.4599 Å, c = 26.8045 Å
α = 90.00°, β = 90.00°, γ = 120.00°
Space group R-3m (No. 166, hexagonal axes)
One atom of each set of equivalent atoms:
Pr1 0.0000 0.0000 0.1250 x6
Pr2 0.0000 0.0000 0.3752 x6
Tl1 0.0000 0.0000 0.0000 x3
In1 0.0000 0.0000 0.5000 x3
Ag1 0.0000 0.0000 0.2484 x6

Values from the calculation:
The value obtained for the density of states at the Fermi level is 1.069 states/eV/atom. The crystal system is trigonal. As for the energy of formation from the pure elements: -0.339 eV/atom. Its total energy is -4.08 eV/atom.


An optimized crystal structure of Sc3HPd, computed with PBE.

a = 8.656 Å, b = 11.762 Å, c = 3.428 Å
α = 90.00°, β = 90.00°, γ = 90.00°
Space group Cmmm (No. 65)
One atom of each set of equivalent atoms:
Sc1 0.000 0.183 0.000 x4
Sc2 0.189 0.372 0.500 x8
H1 0.250 0.250 0.000 x4
Pd1 0.000 0.000 0.500 x2
Pd2 0.000 0.500 0.000 x2

Values from the calculation:
The value obtained for the density of states at the Fermi level is 1.171 states/eV/atom. The crystal system is orthorhombic. Its total energy is -5.93 eV/atom.


An optimized crystal structure of SrHgMo2, computed with PBE.

a = 3.350 Å, b = 3.350 Å, c = 7.962 Å
α = 90.00°, β = 90.00°, γ = 90.00°
Space group P4mm (No. 99)
One atom of each set of equivalent atoms:
Sr1 0.000 0.000 0.000 x1
Hg1 0.500 0.500 0.305 x1
Mo1 0.000 0.000 0.549 x1
Mo2 0.500 0.500 0.690 x1

Values from the calculation:
The value obtained for the density of states at the Fermi level is 1.367 states/eV/atom. The crystal system is tetragonal. As for the energy of formation from the pure elements: 0.361 eV/atom. Its total energy is -5.55 eV/atom.


An optimized crystal structure of LaCrP, computed with PBE.

a = 6.911 Å, b = 6.911 Å, c = 6.911 Å
α = 90.00°, β = 90.00°, γ = 90.00°
Space group F-43m (No. 216)
One atom of each set of equivalent atoms:
La1 0.000 0.000 0.000 x4
Cr1 0.250 0.250 0.750 x4
P1 0.250 0.250 0.250 x4

Values from the calculation:
The value obtained for the density of states at the Fermi level is 0.380 states/eV/atom. The crystal system is cubic. As for the energy of formation from the pure elements: 0.299 eV/atom. Its total energy is -6.35 eV/atom.


An optimized crystal structure of BaLi2GaHg4, computed with PBE.

a = 4.7301 Å, b = 4.7301 Å, c = 31.2961 Å
α = 90.00°, β = 90.00°, γ = 120.00°
Space group R-3m (No. 166, hexagonal axes)
One atom of each set of equivalent atoms:
Ba1 0.0000 0.0000 0.0000 x3
Li1 0.0000 0.0000 0.2231 x6
Ga1 0.0000 0.0000 0.5000 x3
Hg1 0.0000 0.0000 0.1260 x6
Hg2 0.0000 0.0000 0.4018 x6

Values from the calculation:
The value obtained for the density of states at the Fermi level is 0.562 states/eV/atom. The crystal system is trigonal. As for the energy of formation from the pure elements: -0.329 eV/atom. Its total energy is -1.58 eV/atom.